Record 1
{
  "formula": "SmCuO3",
  "functional": "PBE",
  "state": "optimized geometry",
  "sg": "No. 167",
  "e_form_raw_mev_per_atom": -1956,
  "magmom_total_mub_per_fu": 0.00,
  "lattice": [[5.324, -0.006, -0.004], [2.458, 4.723, -0.004], [2.458, 1.490, 4.481]],
  "species": ["O", "O", "O", "O", "O", "O", "Cu", "Cu", "Sm", "Sm"],
  "frac_coords": [[0.829, 0.671, 0.250], [0.250, 0.829, 0.671], [0.329, 0.750, 0.171], [0.171, 0.329, 0.750], [0.750, 0.171, 0.329], [0.671, 0.250, 0.829], [0.000, 0.000, 0.000], [0.500, 0.500, 0.500], [0.250, 0.250, 0.250], [0.750, 0.750, 0.750]]
}

Record 2
{
  "formula": "DyZrOs",
  "functional": "PBE",
  "state": "optimized geometry",
  "e_above_lowest_polymorph_mev_per_atom": 0,
  "sg": "No. 107",
  "magmom_total_mub_per_fu": 1.03,
  "formation_enthalpy_0k_ev_per_atom": -0.177,
  "lattice": [[-0.554, 1.449, -2.963], [2.799, -1.384, -1.200], [-4.193, -4.743, 0.351]],
  "species": ["Dy", "Os", "Zr"],
  "frac_coords": [[0.021, 0.021, 0.041], [0.677, 0.677, 0.355], [0.302, 0.302, 0.604]]
}